Entry 1:
VASP calculation (GGA-PBE) on a relaxed structure of Hf3ReNi2.

Cell lengths 3.2420, 3.2420, 9.5453 Å; angles 90.00, 90.00, 90.00 degrees
Closest atoms and distances in Å follow each position.
Space group P4/mmm (No. 123)
One atom of each set of equivalent atoms:
Hf: 0.0000 0.0000 0.0000 x1  8 Ni 2.75
Hf: 0.0000 0.0000 0.3320 x2  4 Re 2.80, 4 Ni 2.82
Re: 0.5000 0.5000 0.5000 x1  8 Hf 2.80
Ni: 0.5000 0.5000 0.1592 x2  8 Hf 2.75-2.82, 1 Ni 3.04

**ΔE_f**: -0.431 eV per atom
**V**: 100.3 Å³/f.u.
**E above lowest polymorph**: 0 meV/atom
**ρ**: 13.89 g cm⁻³
**VASP energy**: -9.41 eV/atom

=====

Entry 2:
VASP calculation (GGA-PBE) on a relaxed structure of Hf9Re4Ni.

Cell lengths 8.5922, 8.5922, 8.4898 Å; angles 90.00, 90.00, 120.00 degrees
Closest atoms and distances in Å follow each position.
Space group P6_3/mmc (No. 194)
One atom of each set of equivalent atoms:
Hf: 0.0830 0.5415 0.2500 x6  2 Re 2.88, 1 Ni 3.10, 4 Hf 3.18
Hf: 0.1977 0.3953 0.5566 x12  1 Ni 2.60, 1 Re 2.91
Re: 0.0000 0.0000 0.0000 x2  6 Re 2.69, 6 Hf 2.98
Re: 0.1107 0.2214 0.2500 x6  4 Re 2.69-2.85, 4 Hf 2.88-2.91
Ni: 0.3333 0.6667 0.7500 x2  6 Hf 2.60

**ΔE_f**: -0.356 eV per atom
**V**: 271.4 Å³/f.u.
**ρ**: 14.75 g cm⁻³
**VASP energy**: -10.72 eV/atom

=====

Entry 3:
VASP calculation (GGA-PBE) on a relaxed structure of Hf4Re3Ni.

Cell lengths 3.2849, 4.6072, 9.1628 Å; angles 90.00, 90.00, 90.00 degrees
Closest atoms and distances in Å follow each position.
Space group Pmmm (No. 47)
One atom of each set of equivalent atoms:
Hf: 0.0000 0.0000 0.0000 x1  4 Re 2.77, 4 Ni 2.83
Hf: 0.0000 0.0000 0.5000 x1  8 Re 2.83-2.86
Hf: 0.0000 0.5000 0.2498 x2  2 Ni 2.82, 6 Re 2.82-2.83
Re: 0.5000 0.0000 0.2440 x2  8 Hf 2.77-2.86
Re: 0.5000 0.5000 0.5000 x1  8 Hf 2.82-2.83
Ni: 0.5000 0.5000 0.0000 x1  8 Hf 2.82-2.83

**ΔE_f**: -0.374 eV per atom
**V**: 138.7 Å³/f.u.
**ρ**: 15.94 g cm⁻³
**VASP energy**: -10.74 eV/atom

=====

Entry 4:
VASP calculation (GGA-PBE) on a relaxed structure of Hf3ReNi2.

Cell lengths 4.5852, 13.7291, 6.3665 Å; angles 90.00, 90.00, 90.00 degrees
Closest atoms and distances in Å follow each position.
Space group Cmmm (No. 65)
One atom of each set of equivalent atoms:
Hf: 0.0000 0.0000 0.2482 x4  2 Re 2.78, 6 Ni 2.78-2.82
Hf: 0.0000 0.3340 0.2485 x8  5 Ni 2.75-2.79, 3 Re 2.80-2.82
Re: 0.0000 0.1651 0.5000 x4  8 Hf 2.78-2.82
Ni: 0.0000 0.1704 0.0000 x4  8 Hf 2.75-2.82
Ni: 0.0000 0.5000 0.0000 x2  8 Hf 2.77-2.78
Ni: 0.0000 0.5000 0.5000 x2  8 Hf 2.79-2.80

**ΔE_f**: -0.429 eV per atom
**V**: 100.2 Å³/f.u.
**E above lowest polymorph**: 2 meV/atom
**ρ**: 13.91 g cm⁻³
**VASP energy**: -9.41 eV/atom

=====

Entry 5:
VASP calculation (GGA-PBE) on a relaxed structure of HfRe2NiRu.

Cell lengths 4.4191, 4.4191, 4.4873 Å; angles 90.00, 90.00, 90.00 degrees
Closest atoms and distances in Å follow each position.
Space group P4/mmm (No. 123)
One atom of each set of equivalent atoms:
Hf: 0.0000 0.0000 0.0000 x1  4 Ru 3.12, 8 Re 3.15
Re: 0.0000 0.5000 0.5000 x2  2 Ni 2.21
Ni: 0.5000 0.5000 0.5000 x1  4 Re 2.21, 2 Ru 2.24
Ru: 0.5000 0.5000 0.0000 x1  2 Ni 2.24

**ΔE_f**: 1.128 eV per atom
**V**: 87.6 Å³/f.u.
**ρ**: 13.47 g cm⁻³
**VASP energy**: -8.85 eV/atom

=====

Entry 6:
VASP calculation (GGA-PBE) on a relaxed structure of HfScReNi.

Cell lengths 6.4449, 6.4449, 6.4449 Å; angles 90.00, 90.00, 90.00 degrees
Closest atoms and distances in Å follow each position.
Space group F-43m (No. 216)
One atom of each set of equivalent atoms:
Hf: 0.0000 0.0000 0.0000 x4  4 Re 2.79, 4 Ni 2.79
Sc: 0.0000 0.0000 0.5000 x4  4 Re 2.79, 4 Ni 2.79
Re: 0.2500 0.2500 0.7500 x4  4 Hf 2.79, 4 Sc 2.79
Ni: 0.2500 0.2500 0.2500 x4  4 Sc 2.79, 4 Hf 2.79

**ΔE_f**: -0.346 eV per atom
**V**: 66.9 Å³/f.u.
**ρ**: 11.62 g cm⁻³
**VASP energy**: -8.98 eV/atom

=====

Entry 7:
VASP calculation (GGA-PBE) on a relaxed structure of Hf2ReNiSe.

Cell lengths 5.0928, 5.0928, 4.5885 Å; angles 90.00, 90.00, 90.00 degrees
Closest atoms and distances in Å follow each position.
Space group P4/mmm (No. 123)
One atom of each set of equivalent atoms:
Hf: 0.0000 0.5000 0.0000 x2  2 Re 2.55
Re: 0.0000 0.0000 0.0000 x1  2 Se 2.29, 4 Hf 2.55
Ni: 0.5000 0.5000 0.5000 x1  8 Hf 3.43, 4 Se 3.60
Se: 0.0000 0.0000 0.5000 x1  2 Re 2.29

**V**: 119.0 Å³/f.u.
**E_form (uncorrected)**: 4.49 eV/f.u.
**ρ**: 9.50 g cm⁻³
**VASP energy**: -7.43 eV/atom

=====

Entry 8:
VASP calculation (GGA-PBE) on a relaxed structure of HfReSiNi2.

Cell lengths 4.4034, 4.4034, 4.7905 Å; angles 90.00, 90.00, 90.00 degrees
Closest atoms and distances in Å follow each position.
Space group P4/mmm (No. 123)
One atom of each set of equivalent atoms:
Hf: 0.0000 0.0000 0.0000 x1  4 Ni 2.20, 2 Si 2.40
Re: 0.5000 0.5000 0.5000 x1  4 Si 3.11, 8 Ni 3.25
Si: 0.0000 0.0000 0.5000 x1  2 Hf 2.40
Ni: 0.0000 0.5000 0.0000 x2  2 Hf 2.20

**V**: 92.9 Å³/f.u.
**E_form (uncorrected)**: 8.51 eV/f.u.
**ρ**: 9.12 g cm⁻³
**VASP energy**: -6.18 eV/atom

=====

Entry 9:
VASP calculation (GGA-PBE) on a relaxed structure of HfReNi2Sn.

Cell lengths 4.5157, 4.5157, 5.0028 Å; angles 90.00, 90.00, 90.00 degrees
Closest atoms and distances in Å follow each position.
Space group P4/mmm (No. 123)
One atom of each set of equivalent atoms:
Hf: 0.0000 0.0000 0.0000 x1  4 Sn 3.19, 8 Ni 3.37
Re: 0.5000 0.5000 0.5000 x1  4 Ni 2.26, 2 Sn 2.50
Ni: 0.0000 0.5000 0.5000 x2  2 Re 2.26
Sn: 0.5000 0.5000 0.0000 x1  2 Re 2.50

**ΔE_f**: 0.998 eV per atom
**V**: 102.0 Å³/f.u.
**ρ**: 9.78 g cm⁻³
**VASP energy**: -6.60 eV/atom

=====

Entry 10:
VASP calculation (GGA-PBE) on a relaxed structure of Sr2HfReNi.

Cell lengths 5.8127, 5.8127, 4.4746 Å; angles 90.00, 90.00, 90.00 degrees
Closest atoms and distances in Å follow each position.
Space group P4/mmm (No. 123)
One atom of each set of equivalent atoms:
Sr: 0.0000 0.5000 0.0000 x2  2 Re 2.91
Hf: 0.0000 0.0000 0.5000 x1  8 Sr 3.67
Re: 0.5000 0.5000 0.0000 x1  2 Ni 2.24
Ni: 0.5000 0.5000 0.5000 x1  2 Re 2.24

**ΔE_f**: 1.433 eV per atom
**V**: 151.2 Å³/f.u.
**ρ**: 6.58 g cm⁻³
**VASP energy**: -4.88 eV/atom

=====

Entry 11:
VASP calculation (GGA-PBE) on a relaxed structure of SrHfRe2Ni.

Cell lengths 4.8530, 4.8530, 4.4220 Å; angles 90.00, 90.00, 90.00 degrees
Closest atoms and distances in Å follow each position.
Space group P4/mmm (No. 123)
One atom of each set of equivalent atoms:
Sr: 0.0000 0.0000 0.0000 x1  2 Ni 2.21, 4 Re 2.43
Hf: 0.5000 0.5000 0.5000 x1  8 Re 3.28, 4 Ni 3.43
Re: 0.0000 0.5000 0.0000 x2  2 Sr 2.43
Ni: 0.0000 0.0000 0.5000 x1  2 Sr 2.21

**ΔE_f**: 2.588 eV per atom
**V**: 104.1 Å³/f.u.
**ρ**: 11.12 g cm⁻³
**VASP energy**: -5.87 eV/atom

=====

Entry 12:
VASP calculation (GGA-PBE) on a relaxed structure of Hf6Ni2Rh.

Cell lengths 8.3277, 8.4787, 9.5571 Å; angles 90.00, 90.00, 90.00 degrees
Closest atoms and distances in Å follow each position.
Space group Immm (No. 71)
One atom of each set of equivalent atoms:
Hf: 0.0000 0.1929 0.2359 x8  2 Ni 2.60-2.91, 1 Rh 2.79
Hf: 0.2011 0.5000 0.1703 x8  3 Ni 2.56-2.67
Hf: 0.2061 0.3120 0.5000 x8  3 Ni 2.64-2.79, 1 Rh 2.92
Ni: 0.0000 0.3468 0.0000 x4  1 Ni 2.60, 8 Hf 2.60-2.79
Ni: 0.0000 0.5000 0.3722 x4  1 Ni 2.44, 6 Hf 2.56-2.64
Rh: 0.0000 0.0000 0.0000 x2  8 Hf 2.79-2.92, 2 Ni 2.94
Rh: 0.0000 0.0000 0.5000 x2  12 Hf 2.97-3.15

**ΔE_f**: -0.389 eV per atom
**V**: 168.7 Å³/f.u.
**ρ**: 12.71 g cm⁻³
**VASP energy**: -9.13 eV/atom

=====

The lowest V belongs to which entry? HfScReNi